# Tl2CdCo, optimized geometry, DFT PBE-GGA
# * polymorph energy (0 for the lowest one): 17 meV/atom
# * E: -2.882 eV/atom
# * N(E_F): 0.8212 states/eV/atom
data_Tl2CdCo
_chemical_formula_sum 'Tl4 Cd2 Co2'
_symmetry_space_group_name_H-M 'I m m m'
_symmetry_Int_Tables_number 71
_symmetry_space_group_name_Hall '-I 2 2'
_cell_length_a 3.060
_cell_length_b 4.484
_cell_length_c 13.543
_cell_angle_alpha 90.00
_cell_angle_beta 90.00
_cell_angle_gamma 90.00
loop_
_atom_site_label
_atom_site_fract_x
_atom_site_fract_y
_atom_site_fract_z
Tl1 0.000 0.000 0.171
Cd1 0.000 0.500 0.000
Co1 0.000 0.500 0.500

# TlCdCo2, optimized geometry, DFT PBE-GGA
# * polymorph energy (0 for the lowest one): 152 meV/atom
# * E: -3.893 eV/atom
# * N(E_F): 0.5207 states/eV/atom
data_TlCdCo2
_chemical_formula_sum 'Tl3 Cd3 Co6'
_symmetry_space_group_name_H-M 'R 3 m'
_symmetry_Int_Tables_number 160
_symmetry_space_group_name_Hall 'R 3 -2"'
_cell_length_a 3.2318
_cell_length_b 3.2318
_cell_length_c 24.8949
_cell_angle_alpha 90.00
_cell_angle_beta 90.00
_cell_angle_gamma 120.00
loop_
_atom_site_label
_atom_site_fract_x
_atom_site_fract_y
_atom_site_fract_z
Tl1 0.0000 0.0000 0.0000
Cd1 0.0000 0.0000 0.7754
Co1 0.0000 0.0000 0.2432
Co2 0.0000 0.0000 0.5262

# Tl2Cd2Co, optimized geometry, DFT PBE-GGA
# * E: -2.277 eV/atom
# * N(E_F): 1.1352 states/eV/atom
data_Tl2Cd2Co
_chemical_formula_sum 'Tl4 Cd4 Co2'
_symmetry_space_group_name_H-M 'P 4/m b m'
_symmetry_Int_Tables_number 127
_symmetry_space_group_name_Hall '-P 4 2ab'
_cell_length_a 6.960
_cell_length_b 6.960
_cell_length_c 5.178
_cell_angle_alpha 90.00
_cell_angle_beta 90.00
_cell_angle_gamma 90.00
loop_
_atom_site_label
_atom_site_fract_x
_atom_site_fract_y
_atom_site_fract_z
Tl1 0.175 0.325 0.000
Cd1 0.153 0.653 0.500
Co1 0.000 0.000 0.500

# TlCd2Co, optimized geometry, DFT PBE-GGA
# * polymorph energy (0 for the lowest one): 234 meV/atom
# * E: -2.365 eV/atom
# * N(E_F): 0.8534 states/eV/atom
data_TlCd2Co
_chemical_formula_sum 'Tl4 Cd8 Co4'
_symmetry_space_group_name_H-M 'F -4 3 m'
_symmetry_Int_Tables_number 216
_symmetry_space_group_name_Hall 'F -4 2 3'
_cell_length_a 6.785
_cell_length_b 6.785
_cell_length_c 6.785
_cell_angle_alpha 90.00
_cell_angle_beta 90.00
_cell_angle_gamma 90.00
loop_
_atom_site_label
_atom_site_fract_x
_atom_site_fract_y
_atom_site_fract_z
Tl1 0.000 0.000 0.000
Cd1 0.000 0.000 0.500
Cd2 0.250 0.250 0.250
Co1 0.250 0.250 0.750

# TlCd2Co, optimized geometry, DFT PBE-GGA
# * polymorph energy (0 for the lowest one): 5 meV/atom
# * E: -2.594 eV/atom
# * N(E_F): 0.8370 states/eV/atom
data_TlCd2Co
_chemical_formula_sum 'Tl2 Cd4 Co2'
_symmetry_space_group_name_H-M 'C 1 m 1'
_symmetry_Int_Tables_number 8
_symmetry_space_group_name_Hall 'C -2y'
_cell_length_a 13.816
_cell_length_b 2.982
_cell_length_c 4.498
_cell_angle_alpha 90.00
_cell_angle_beta 108.93
_cell_angle_gamma 90.00
loop_
_atom_site_label
_atom_site_fract_x
_atom_site_fract_y
_atom_site_fract_z
Tl1 0.000 0.000 0.000
Cd1 0.148 0.500 0.643
Cd2 0.314 0.500 0.310
Co1 0.323 0.000 0.817

# Tl2CdCo, optimized geometry, DFT PBE-GGA
# * polymorph energy (0 for the lowest one): 0 meV/atom
# * E: -2.898 eV/atom
# * N(E_F): 0.6388 states/eV/atom
data_Tl2CdCo
_chemical_formula_sum 'Tl4 Cd2 Co2'
_symmetry_space_group_name_H-M 'A m m 2'
_symmetry_Int_Tables_number 38
_symmetry_space_group_name_Hall 'A 2 -2'
_cell_length_a 3.076
_cell_length_b 4.322
_cell_length_c 13.930
_cell_angle_alpha 90.00
_cell_angle_beta 90.00
_cell_angle_gamma 90.00
loop_
_atom_site_label
_atom_site_fract_x
_atom_site_fract_y
_atom_site_fract_z
Tl1 0.000 0.000 0.000
Tl2 0.500 0.000 0.316
Cd1 0.000 0.000 0.673
Co1 0.500 0.000 0.510

# Tl2CdCo, optimized geometry, DFT PBE-GGA
# * polymorph energy (0 for the lowest one): 305 meV/atom
# * E: -2.593 eV/atom
# * N(E_F): 1.4185 states/eV/atom
data_Tl2CdCo
_chemical_formula_sum 'Tl8 Cd4 Co4'
_symmetry_space_group_name_H-M 'F -4 3 m'
_symmetry_Int_Tables_number 216
_symmetry_space_group_name_Hall 'F -4 2 3'
_cell_length_a 7.177
_cell_length_b 7.177
_cell_length_c 7.177
_cell_angle_alpha 90.00
_cell_angle_beta 90.00
_cell_angle_gamma 90.00
loop_
_atom_site_label
_atom_site_fract_x
_atom_site_fract_y
_atom_site_fract_z
Tl1 0.000 0.000 0.000
Tl2 0.250 0.250 0.250
Cd1 0.000 0.000 0.500
Co1 0.250 0.250 0.750

# TlCdCo2, optimized geometry, DFT PBE-GGA
# * polymorph energy (0 for the lowest one): 119 meV/atom
# * E: -3.926 eV/atom
# * N(E_F): 0.8339 states/eV/atom
data_TlCdCo2
_chemical_formula_sum 'Tl2 Cd2 Co4'
_symmetry_space_group_name_H-M 'A m m 2'
_symmetry_Int_Tables_number 38
_symmetry_space_group_name_Hall 'A 2 -2'
_cell_length_a 4.115
_cell_length_b 3.239
_cell_length_c 10.284
_cell_angle_alpha 90.00
_cell_angle_beta 90.00
_cell_angle_gamma 90.00
loop_
_atom_site_label
_atom_site_fract_x
_atom_site_fract_y
_atom_site_fract_z
Tl1 0.000 0.000 0.000
Cd1 0.500 0.000 0.675
Co1 0.000 0.000 0.278
Co2 0.500 0.000 0.387

Which formula does entry 1 have?
Tl2CdCo

What did the fourth record say?
# TlCd2Co, optimized geometry, DFT PBE-GGA
# * polymorph energy (0 for the lowest one): 234 meV/atom
# * E: -2.365 eV/atom
# * N(E_F): 0.8534 states/eV/atom
data_TlCd2Co
_chemical_formula_sum 'Tl4 Cd8 Co4'
_symmetry_space_group_name_H-M 'F -4 3 m'
_symmetry_Int_Tables_number 216
_symmetry_space_group_name_Hall 'F -4 2 3'
_cell_length_a 6.785
_cell_length_b 6.785
_cell_length_c 6.785
_cell_angle_alpha 90.00
_cell_angle_beta 90.00
_cell_angle_gamma 90.00
loop_
_atom_site_label
_atom_site_fract_x
_atom_site_fract_y
_atom_site_fract_z
Tl1 0.000 0.000 0.000
Cd1 0.000 0.000 0.500
Cd2 0.250 0.250 0.250
Co1 0.250 0.250 0.750

Copy entry 3 word for word.
# Tl2Cd2Co, optimized geometry, DFT PBE-GGA
# * E: -2.277 eV/atom
# * N(E_F): 1.1352 states/eV/atom
data_Tl2Cd2Co
_chemical_formula_sum 'Tl4 Cd4 Co2'
_symmetry_space_group_name_H-M 'P 4/m b m'
_symmetry_Int_Tables_number 127
_symmetry_space_group_name_Hall '-P 4 2ab'
_cell_length_a 6.960
_cell_length_b 6.960
_cell_length_c 5.178
_cell_angle_alpha 90.00
_cell_angle_beta 90.00
_cell_angle_gamma 90.00
loop_
_atom_site_label
_atom_site_fract_x
_atom_site_fract_y
_atom_site_fract_z
Tl1 0.175 0.325 0.000
Cd1 0.153 0.653 0.500
Co1 0.000 0.000 0.500